# 1
PrNd3Y5 | PBE | optimized geometry

Cell lengths 8.773, 8.773, 10.027 Å; angles 115.94, 115.94, 90.00 degrees
Element x y z (fractional)
Y 0.344 0.844 0.273
Y 0.571 0.656 0.727
Y 0.156 0.071 0.727
Y 0.429 0.344 0.273
Y 0.071 0.571 0.727
Pr 0.250 0.750 0.500
Nd 0.618 0.118 0.000
Nd 0.882 0.618 0.000
Nd 0.250 0.250 0.500
Y 0.500 0.500 0.000
Y 0.656 0.156 0.727
Pr 0.750 0.250 0.500
Nd 0.382 0.882 0.000
Nd 0.118 0.382 0.000
Y 0.000 0.000 0.000
Nd 0.750 0.750 0.500
Y 0.929 0.429 0.273
Y 0.844 0.929 0.273

As for the calculated formation energy: 231 meV per atom.

---

# 2
Cr3Pb2S6 | PBE | optimized geometry

Cell lengths 6.294, 6.297, 7.122 Å; angles 81.40, 72.59, 60.02 degrees
Last column: magnetic moment on the atom in μB.
Element x y z (fractional)
Cr 0.333 0.335 0.000  3.11
S 0.062 0.336 0.809  -0.08
S 0.269 0.000 0.186  -0.07
S 0.602 0.336 0.191  -0.08
S 0.398 0.664 0.809  -0.08
Cr 0.000 0.000 0.000  3.13
S 0.731 0.000 0.814  -0.07
S 0.938 0.664 0.191  -0.08
Pb 0.833 0.335 0.500  0.07
Pb 0.167 0.665 0.500  0.07
Cr 0.667 0.665 0.000  3.11

The calculation puts the uncorrected formation energy at -6.1 eV/f.u.

---

# 3
BaMg2Mo | PBE | optimized geometry

Cell lengths 3.177, 4.098, 8.124 Å; angles 90.00, 90.00, 90.00 degrees
Last column: magnetic moment on the atom in μB.
Element x y z (fractional)
Mg 0.500 0.500 0.281  0.00
Mg 0.000 0.000 0.074  0.00
Mo 0.000 0.000 0.429  0.44
Ba 0.500 0.500 0.717  0.03

Its distance to the lowest polymorph of the same formula is 110 meV per atom. As for the calculated formation energy: 633 meV per atom.

---

# 4
Ti2ZnNiH | PBE | optimized geometry

Cell lengths 4.073, 4.073, 3.613 Å; angles 90.00, 90.00, 90.00 degrees
Last column: magnetic moment on the atom in μB.
Element x y z (fractional)
Zn 0.500 0.500 0.500  0.00
H 0.000 0.000 0.000  0.00
Ni 0.000 0.000 0.500  0.15
Ti 0.500 0.000 0.000  0.33
Ti 0.000 0.500 0.000  0.33

Its distance to the lowest polymorph of the same formula is 0 meV per atom.

---

# 5
LaZn4Cd | PBE | optimized geometry

Cell lengths 3.714, 8.239, 16.433 Å; angles 90.00, 90.00, 90.00 degrees
Element x y z (fractional)
Zn 0.500 0.868 0.450
Cd 0.000 0.132 0.412
Cd 0.000 0.368 0.912
Zn 0.500 0.632 0.950
Zn 0.500 0.787 0.191
Zn 0.500 0.622 0.541
Zn 0.500 0.378 0.459
Zn 0.500 0.287 0.309
Cd 0.000 0.632 0.088
Zn 0.500 0.473 0.194
La 0.000 0.378 0.656
La 0.000 0.622 0.344
Zn 0.500 0.973 0.306
Zn 0.500 0.878 0.041
La 0.000 0.878 0.844
Zn 0.500 0.132 0.550
Zn 0.500 0.527 0.806
Zn 0.500 0.368 0.050
Zn 0.500 0.122 0.959
Cd 0.000 0.868 0.588
Zn 0.500 0.027 0.694
La 0.000 0.122 0.156
Zn 0.500 0.713 0.691
Zn 0.500 0.213 0.809

As for the calculated formation energy: -183 meV per atom.

---

# 6
HoSc2PaAs4 | PBE | optimized geometry

Cell lengths 4.008, 6.865, 6.929 Å; angles 70.37, 90.00, 90.00 degrees
Element x y z (fractional)
Sc 0.000 0.000 0.000
As 0.000 0.236 0.255
Sc 0.500 0.000 0.500
Ho 0.000 0.500 0.500
As 0.500 0.238 0.756
Pa 0.500 0.500 0.000
As 0.500 0.762 0.244
As 0.000 0.764 0.745

As for the calculated formation energy: -1330 meV per atom.

---

# 7
Sr2SmSnSe4 | PBE | optimized geometry

Cell lengths 4.333, 7.495, 7.560 Å; angles 70.61, 90.00, 90.00 degrees
Element x y z (fractional)
Se 0.500 0.738 0.249
Sr 0.500 0.000 0.500
Sr 0.000 0.000 0.000
Sm 0.500 0.500 0.000
Se 0.000 0.736 0.757
Se 0.000 0.264 0.243
Sn 0.000 0.500 0.500
Se 0.500 0.262 0.751

The calculation puts the uncorrected formation energy at -12.3 eV/f.u.

---

# 8
AcPrSb2Rh5 | PBE | optimized geometry

Cell lengths 4.549, 4.549, 9.156 Å; angles 90.00, 90.00, 90.00 degrees
Element x y z (fractional)
Rh 0.000 0.500 0.723
Sb 0.500 0.500 0.841
Rh 0.000 0.500 0.277
Rh 0.500 0.000 0.723
Pr 0.000 0.000 0.000
Sb 0.500 0.500 0.159
Rh 0.500 0.500 0.500
Rh 0.500 0.000 0.277
Ac 0.000 0.000 0.500

The calculation puts the uncorrected formation energy at -4.8 eV/f.u.

---

# 9
Li2YZrSe4 | PBE | optimized geometry

Cell lengths 3.904, 6.820, 6.920 Å; angles 108.99, 90.00, 90.00 degrees
Element x y z (fractional)
Se 0.500 0.263 0.256
Se 0.000 0.741 0.252
Li 0.000 0.500 0.500
Y 0.000 0.000 0.000
Li 0.500 0.000 0.500
Se 0.500 0.737 0.744
Zr 0.500 0.500 0.000
Se 0.000 0.259 0.748

The calculation puts the uncorrected formation energy at -11.9 eV/f.u.

---

# 10
LaZnTc2 | PBE | optimized geometry

Cell lengths 4.299, 4.299, 5.947 Å; angles 68.84, 68.84, 60.03 degrees
Element x y z (fractional)
Zn 0.456 0.456 0.633
La 0.252 0.252 0.244
Tc 0.740 0.740 0.781
Tc 0.053 0.053 0.842

As for the calculated formation energy: -44 meV per atom.

---

# 11
Pm3Sm3HoS8 | PBE | optimized geometry

Cell lengths 8.008, 8.008, 8.018 Å; angles 119.96, 90.00, 120.00 degrees
Element x y z (fractional)
Pm 0.000 0.000 0.000
S 0.244 0.999 0.743
S 0.756 0.001 0.257
S 0.749 0.499 0.748
Ho 0.000 0.000 0.500
S 0.251 0.501 0.252
Pm 0.500 0.500 0.000
S 0.755 0.999 0.743
S 0.244 0.488 0.743
S 0.756 0.512 0.257
Sm 0.500 0.500 0.500
Sm 0.000 0.500 0.500
Pm 0.000 0.500 0.000
Sm 0.500 0.000 0.500
S 0.245 0.001 0.257

The calculation puts the uncorrected formation energy at -30.9 eV/f.u.

---

# 12
Er8NiHg2 | PBE | optimized geometry

Cell lengths 5.180, 6.733, 9.107 Å; angles 105.18, 106.52, 90.00 degrees
Element x y z (fractional)
Er 0.588 0.432 0.177
Hg 0.812 0.271 0.623
Er 0.412 0.568 0.823
Er 0.202 0.306 0.403
Hg 0.188 0.729 0.377
Er 0.977 0.219 0.954
Ni 0.500 0.000 0.000
Er 0.798 0.694 0.597
Er 0.651 0.961 0.302
Er 0.023 0.781 0.046
Er 0.349 0.039 0.698

As for the calculated formation energy: -227 meV per atom.